## TbDyPu2Sb4 (GGA-PBE)

Data for a relaxed structure of TbDyPu2Sb4.

Results
M_tot: 10.1 μB per formula unit
Uncorrected formation energy: -6.93 eV/f.u.

Lattice parameters (Å, degrees): 4.4152 7.6471 7.6179 109.54 90.00 90.00
With the nearest neighbours (Å) after each atom.
Element x y z (fractional)
Tb 0.5000 0.5000 0.0000  6 Sb 3.12
Dy 0.0000 0.0000 0.0000  6 Sb 3.11-3.12
Pu 0.5000 0.0000 0.5000  6 Sb 3.11-3.12
Pu 0.0000 0.5000 0.5000  6 Sb 3.12
Sb 0.5000 0.2494 0.2498  3 Pu 3.11-3.12, 2 Dy 3.12, 1 Tb 3.12
Sb 0.5000 0.7506 0.7502  3 Pu 3.11-3.12, 2 Dy 3.12, 1 Tb 3.12
Sb 0.0000 0.2494 0.7498  1 Dy 3.11, 3 Pu 3.12, 2 Tb 3.12
Sb 0.0000 0.7506 0.2502  1 Dy 3.11, 3 Pu 3.12, 2 Tb 3.12